1.
The following is a GGA-PBEsol calculation of a geometry-optimized Be2CrHg structure, from Alexandria.

## Properties
* N(E_F): 0.5524 states/eV/atom
* formation energy from the elements: 607 meV per atom
* relative energy among the computed polymorphs: 1.08 eV per formula unit
* ρ: 8.9 g/cm3

```
data_Be2CrHg
_cell_length_a 4.848
_cell_length_b 4.848
_cell_length_c 4.848
_cell_angle_alpha 146.86
_cell_angle_beta 124.46
_cell_angle_gamma 66.22
_space_group_name_H-M_alt 'P 1'
_space_group_IT_number 1
_space_group_name_Hall 'P 1'
loop_
_atom_site_label
_atom_site_type_symbol
_atom_site_fract_x
_atom_site_fract_y
_atom_site_fract_z
Be1 Be 0.240 0.240 0.000
Be2 Be 0.760 0.760 0.000
Cr1 Cr 0.000 0.500 0.500
Hg1 Hg 0.500 0.000 0.500
```


2.
The following is a GGA-PBEsol calculation of a geometry-optimized Li4Ge5O12 structure, from Alexandria.

## Properties
* E_form (uncorrected): -1881.8 meV per atom
* N(E_F): 0.0000 states/eV/atom
* ρ: 4.6 g/cm3

```
data_Li4Ge5O12
_cell_length_a 5.123
_cell_length_b 9.148
_cell_length_c 9.603
_cell_angle_alpha 73.10
_cell_angle_beta 78.11
_cell_angle_gamma 79.01
_space_group_name_H-M_alt 'P 1'
_space_group_IT_number 1
_space_group_name_Hall 'P 1'
loop_
_atom_site_label
_atom_site_type_symbol
_atom_site_fract_x
_atom_site_fract_y
_atom_site_fract_z
Li1 Li 0.135 0.408 0.406
Li2 Li 0.272 0.906 0.023
Li3 Li 0.313 0.769 0.556
Li4 Li 0.346 0.577 0.113
Li5 Li 0.654 0.423 0.887
Li6 Li 0.687 0.231 0.444
Li7 Li 0.728 0.094 0.977
Li8 Li 0.865 0.592 0.594
Ge1 Ge 0.119 0.595 0.851
Ge2 Ge 0.188 0.099 0.681
Ge3 Ge 0.189 0.254 0.935
Ge4 Ge 0.264 0.097 0.269
Ge5 Ge 0.410 0.420 0.645
Ge6 Ge 0.590 0.580 0.355
Ge7 Ge 0.736 0.903 0.731
Ge8 Ge 0.811 0.746 0.065
Ge9 Ge 0.812 0.901 0.319
Ge10 Ge 0.881 0.405 0.149
O1 O 0.049 0.260 0.304
O2 O 0.051 0.431 0.775
O3 O 0.100 0.933 0.374
O4 O 0.102 0.099 0.867
O5 O 0.150 0.733 0.951
O6 O 0.234 0.422 0.014
O7 O 0.265 0.568 0.484
O8 O 0.320 0.263 0.567
O9 O 0.348 0.098 0.083
O10 O 0.432 0.935 0.659
O11 O 0.447 0.580 0.730
O12 O 0.485 0.730 0.188
O13 O 0.515 0.270 0.812
O14 O 0.553 0.420 0.270
O15 O 0.568 0.065 0.341
O16 O 0.652 0.902 0.917
O17 O 0.680 0.737 0.433
O18 O 0.735 0.432 0.516
O19 O 0.766 0.578 0.986
O20 O 0.850 0.267 0.049
O21 O 0.898 0.901 0.133
O22 O 0.900 0.067 0.626
O23 O 0.949 0.569 0.225
O24 O 0.951 0.740 0.696
```


3.
The following is a GGA-PBEsol calculation of a geometry-optimized MnCdSb2 structure, from Alexandria.

## Properties
* E_form (uncorrected): 257.4 meV per atom
* N(E_F): 0.5992 states/eV/atom
* ρ: 7.5 g/cm3

```
data_MnCdSb2
_cell_length_a 3.913
_cell_length_b 3.913
_cell_length_c 5.937
_cell_angle_alpha 90.00
_cell_angle_beta 90.00
_cell_angle_gamma 90.00
_space_group_name_H-M_alt 'P 1'
_space_group_IT_number 1
_space_group_name_Hall 'P 1'
loop_
_atom_site_label
_atom_site_type_symbol
_atom_site_fract_x
_atom_site_fract_y
_atom_site_fract_z
Mn1 Mn 0.000 0.000 0.000
Cd1 Cd 0.500 0.500 0.628
Sb1 Sb 0.000 0.000 0.485
Sb2 Sb 0.500 0.500 0.097
```


4.
The following is a GGA-PBEsol calculation of a geometry-optimized MnIrW2 structure, from Alexandria.

## Properties
* N(E_F): 0.7985 states/eV/atom
* formation energy from the elements: 70 meV per atom
* relative energy among the computed polymorphs: 0.36 eV per formula unit
* ρ: 17.9 g/cm3

```
data_MnIrW2
_cell_length_a 2.696
_cell_length_b 2.696
_cell_length_c 7.862
_cell_angle_alpha 90.00
_cell_angle_beta 90.00
_cell_angle_gamma 90.00
_space_group_name_H-M_alt 'P 1'
_space_group_IT_number 1
_space_group_name_Hall 'P 1'
loop_
_atom_site_label
_atom_site_type_symbol
_atom_site_fract_x
_atom_site_fract_y
_atom_site_fract_z
Mn1 Mn 0.000 0.000 0.000
Ir1 Ir 0.500 0.500 0.226
W1 W 0.000 0.000 0.474
W2 W 0.500 0.500 0.755
```


5.
The following is a GGA-PBEsol calculation of a geometry-optimized TiSI2N structure, from Alexandria.

## Properties
* E_form (uncorrected): 757.4 meV per atom
* N(E_F): 0.6799 states/eV/atom
* ρ: 5.3 g/cm3

```
data_TiSI2N
_cell_length_a 5.631
_cell_length_b 5.631
_cell_length_c 3.409
_cell_angle_alpha 90.00
_cell_angle_beta 90.00
_cell_angle_gamma 90.00
_space_group_name_H-M_alt 'P 1'
_space_group_IT_number 1
_space_group_name_Hall 'P 1'
loop_
_atom_site_label
_atom_site_type_symbol
_atom_site_fract_x
_atom_site_fract_y
_atom_site_fract_z
Ti1 Ti 0.000 0.000 0.000
S1 S 0.500 0.500 0.500
I1 I 0.000 0.500 0.500
I2 I 0.500 0.000 0.500
N1 N 0.500 0.500 0.000
```


6.
The following is a GGA-PBEsol calculation of a geometry-optimized Ba3Au2 structure, from Alexandria.

## Properties
* N(E_F): 0.8501 states/eV/atom
* formation energy from the elements: -550 meV per atom
* relative energy among the computed polymorphs: 0.00 eV per formula unit
* ρ: 7.4 g/cm3

```
data_Ba3Au2
_cell_length_a 8.537
_cell_length_b 8.537
_cell_length_c 8.537
_cell_angle_alpha 71.70
_cell_angle_beta 71.70
_cell_angle_gamma 71.70
_space_group_name_H-M_alt 'P 1'
_space_group_IT_number 1
_space_group_name_Hall 'P 1'
loop_
_atom_site_label
_atom_site_type_symbol
_atom_site_fract_x
_atom_site_fract_y
_atom_site_fract_z
Ba1 Ba 0.000 0.000 0.000
Ba2 Ba 0.155 0.670 0.396
Ba3 Ba 0.201 0.201 0.201
Ba4 Ba 0.330 0.604 0.845
Ba5 Ba 0.396 0.155 0.670
Ba6 Ba 0.604 0.845 0.330
Ba7 Ba 0.670 0.396 0.155
Ba8 Ba 0.799 0.799 0.799
Ba9 Ba 0.845 0.330 0.604
Au1 Au 0.042 0.409 0.847
Au2 Au 0.153 0.958 0.591
Au3 Au 0.409 0.847 0.042
Au4 Au 0.591 0.153 0.958
Au5 Au 0.847 0.042 0.409
Au6 Au 0.958 0.591 0.153
```